## InCu2AsO6 (PBE-GGA)

Data for a relaxed InCu2AsO6 crystal.

Computed properties:
- N(E_F): 10.1 states/eV per cell
- Total energy: -0.200 hartree per atom
- Calculated volume: 234.4 Å³ per cell
- SG: C2/c (15)
- Crystal system: monoclinic
- Spin magnetization: 4.1 μB per cell

a b c (Å): 6.602 6.602 5.422
angles (deg): 94.92 94.92 87.43
Sites, in units of the cell vectors:
1 In 0.092 0.908 0.750
2 In 0.908 0.092 0.250
3 Cu 0.237 0.416 0.699
4 Cu 0.416 0.237 0.199
5 Cu 0.584 0.763 0.801
6 Cu 0.763 0.584 0.301
7 As 0.271 0.729 0.250
8 As 0.729 0.271 0.750
9 O 0.008 0.218 0.632
10 O 0.155 0.639 0.941
11 O 0.218 0.008 0.132
12 O 0.279 0.470 0.360
13 O 0.361 0.845 0.559
14 O 0.470 0.279 0.860
15 O 0.530 0.721 0.140
16 O 0.639 0.155 0.441
17 O 0.721 0.530 0.640
18 O 0.782 0.992 0.868
19 O 0.845 0.361 0.059
20 O 0.992 0.782 0.368